--- P ---
TcIr: relaxed, PBE.

```
TcIr
1.0
2.146 -3.716 0.000
2.146 3.716 0.000
0.000 0.000 7.984
Tc Ir
4 4
Direct
0.667 0.333 0.590
0.333 0.667 0.410
0.333 0.667 0.090
0.667 0.333 0.910
0.000 0.000 0.750
0.333 0.667 0.750
0.000 0.000 0.250
0.667 0.333 0.250
```

--- Q ---
TcIr: relaxed, PBE.

```
TcIr
1.0
2.754 0.000 0.000
-1.377 2.385 0.000
0.000 0.000 8.822
Ir Tc
2 2
Direct
0.000 0.000 0.994
0.333 0.667 0.256
0.333 0.667 0.748
0.000 0.000 0.502
```

--- R ---
TcIr: relaxed, PBE.

```
TcIr
1.0
2.757 0.000 0.000
-1.379 2.388 0.000
0.000 0.000 4.381
Tc Ir
1 1
Direct
0.667 0.333 0.000
0.333 0.667 0.500
```

So which one is most stable? That would be R, about 77 meV per atom below the next structure.

--- P ---
Tc5Ir: relaxed, PBE.

```
Tc5Ir
1.0
-0.754 -0.245 2.643
-3.723 -2.365 -2.723
1.892 -6.218 -0.037
Tc Ir
5 1
Direct
0.666 0.332 0.667
0.055 0.109 0.388
0.335 0.669 0.336
0.390 0.780 0.721
0.722 0.443 0.055
0.000 0.000 0.999
```

--- Q ---
Tc5Ir: relaxed, PBE.

```
Tc5Ir
1.0
2.496 -4.324 0.000
2.496 4.324 0.000
0.000 0.000 4.447
Tc Ir
5 1
Direct
0.667 0.333 0.000
0.500 0.500 0.500
0.000 0.500 0.500
0.333 0.667 0.000
0.500 0.000 0.500
0.000 0.000 0.000
```

So which one is most stable? That would be P, about 718 meV per atom below the next structure.

--- P ---
Tc5Ir: relaxed, PBE.

```
Tc5Ir
1.0
1.863 -4.013 2.424
-1.671 -1.158 4.617
-2.873 -4.089 0.690
Tc Ir
5 1
Direct
0.625 0.625 0.124
0.124 0.625 0.625
0.625 0.124 0.625
0.625 0.625 0.625
0.250 0.250 0.250
0.000 0.000 0.000
```

--- Q ---
Tc5Ir: relaxed, PBE.

```
Tc5Ir
1.0
-0.917 -1.038 2.388
6.309 -0.989 3.588
-0.301 4.048 1.645
Ir Tc
1 5
Direct
0.001 0.999 0.000
0.666 0.668 0.000
0.333 0.334 0.000
0.888 0.224 0.500
0.223 0.554 0.500
0.556 0.888 0.500
```

So which one is most stable? That would be Q, about 394 meV per atom below the next structure.